This record from the Alexandria database describes an optimized crystal structure of CaCrIr2. The functional is PBEsol.

Energy relative to the elements   0.367 eV per atom
Volume   15.771 Å³/atom
E above lowest polymorph   453 meV per atom
VASP energy   -7.638 eV/atom
M_tot   3.73 μB per cell

Unit cell a=2.9309 b=4.5351 c=4.7461 alpha=90.00 beta=90.00 gamma=90.00
Space group Pmmm (No. 47)
Symmetry-distinct sites (fractional):
Ca 0.0000 0.0000 0.0000 [1 per cell]
Cr 0.5000 0.0000 0.5000 [1 per cell]
Ir 0.0000 0.5000 0.5000 [1 per cell]
Ir 0.5000 0.5000 0.0000 [1 per cell]